Below is crystalline NaTl2Rh at its relaxed geometry, with properties calculated at the PBE level.

```
NaTl2Rh
1.0
2.256 1.303 5.735
-2.256 1.303 5.735
0.000 -2.605 5.735
Na Tl Rh
1 2 1
direct
0.000 0.000 0.000
0.220 0.220 0.220
0.433 0.433 0.433
0.821 0.821 0.821
```

---

Below is crystalline Li2FeW at its relaxed geometry, with properties calculated at the PBE level.

```
Li2FeW
1.0
4.279 -1.262 0.000
4.279 1.262 0.000
-0.301 0.000 5.253
Li Fe W
2 1 1
direct
0.000 0.000 0.000
0.247 0.247 0.784
0.741 0.741 0.298
0.495 0.495 0.475
```

---

| no. | formation enthalpy at 0 K (meV per atom) |
| --- | --- |
| 1 | 33.6 |
| 2 | 434.7 |